Density functional theory data (GGA-PBE) for K3Sm3TaO8 after structural relaxation.

Results
Uncorrected formation energy ... -2.659 eV per atom
Symmetry ... No. 166
Volume ... 17.77 A^3/atom

Cell lengths 6.931, 6.936, 7.553 Å; angles 117.34, 89.99, 120.01 degrees
Element x y z (fractional)
O 0.799 0.030 0.329
O 0.799 0.598 0.329
O 0.201 0.402 0.671
O 0.231 0.030 0.329
O 0.769 0.970 0.671
O 0.201 0.970 0.671
O 0.733 0.466 0.700
O 0.267 0.534 0.300
Ta 0.000 0.000 0.500
Sm 0.500 0.000 0.500
Sm 0.500 0.500 0.500
Sm 0.000 0.500 0.500
K 0.000 0.000 0.000
K 0.000 0.500 0.000
K 0.500 0.500 0.000